1:
Density functional theory data (PBE) for a relaxed structure of TaMn3Mo.

Cell lengths 4.5914, 4.5914, 4.5914 Å; angles 90.00, 90.00, 90.00 degrees
Last column: nearest neighbours and their distance in Å.
Element x y z (fractional)
Mo (0.5000, 0.5000, 0.5000)  12 Mn 3.25
Mn (0.0000, 0.0000, 0.5000)  2 Ta 2.30
Mn (0.0000, 0.5000, 0.0000)  2 Ta 2.30
Mn (0.5000, 0.0000, 0.0000)  2 Ta 2.30
Ta (0.0000, 0.0000, 0.0000)  6 Mn 2.30

Properties
Mass density = 7.58 g/cm3
Crystal system = cubic

2:
Density functional theory data (PBE) for a relaxed structure of TaMn3Mo.

Cell lengths 4.4467, 4.4467, 4.4467 Å; angles 90.00, 90.00, 90.00 degrees
Last column: nearest neighbours and their distance in Å.
Element x y z (fractional)
Mn (0.5000, 0.0000, 0.0000)  2 Mo 2.22
Mn (0.0000, 0.0000, 0.5000)  2 Mo 2.22
Mn (0.0000, 0.5000, 0.0000)  2 Mo 2.22
Ta (0.5000, 0.5000, 0.5000)  12 Mn 3.14
Mo (0.0000, 0.0000, 0.0000)  6 Mn 2.22

Properties
Mass density = 8.34 g/cm3
Crystal system = cubic

Which is most stable, and by how much? 2, by 245 meV per atom.

1:
Density functional theory data (PBE) for a relaxed structure of Mn2TcMo.

Cell lengths 4.2808, 2.6182, 4.8985 Å; angles 81.10, 90.00, 90.00 degrees
Last column: nearest neighbours and their distance in Å.
Element x y z (fractional)
Mn (0.0000, 0.0260, 0.9937)  2 Mo 2.56-2.62, 2 Tc 2.57, 4 Mn 2.58-2.62
Mn (0.5000, 0.2284, 0.2515)  2 Tc 2.51-2.67, 4 Mn 2.58-2.62, 2 Mo 2.59
Mo (0.0000, 0.5139, 0.4838)  4 Mn 2.56-2.62, 2 Mo 2.62, 2 Tc 2.67
Tc (0.5000, 0.7317, 0.7709)  4 Mn 2.51-2.67, 2 Tc 2.62, 2 Mo 2.67

Properties
Mass density = 9.30 g/cm3
Crystal system = monoclinic

2:
Density functional theory data (PBE) for a relaxed structure of Mn2TcMo.

Cell lengths 2.6291, 2.6291, 8.1576 Å; angles 90.00, 90.00, 105.43 degrees
Last column: nearest neighbours and their distance in Å.
Element x y z (fractional)
Tc (0.5000, 0.5000, 0.7500)  4 Mn 2.56, 4 Tc 2.63
Mn (0.0000, 0.0000, 0.5047)  2 Tc 2.56, 2 Mo 2.62, 4 Mn 2.63
Mn (0.0000, 0.0000, 0.9953)  2 Tc 2.56, 2 Mo 2.62, 4 Mn 2.63
Mo (0.5000, 0.5000, 0.2500)  4 Mn 2.62, 4 Mo 2.63

Properties
Mass density = 9.28 g/cm3
Crystal system = orthorhombic

3:
Density functional theory data (PBE) for a relaxed structure of Mn2TcMo.

Cell lengths 2.6640, 2.6640, 7.3931 Å; angles 90.00, 90.00, 90.00 degrees
Last column: nearest neighbours and their distance in Å.
Element x y z (fractional)
Mn (0.0000, 0.0000, 0.0215)  8 Mn 2.38-2.66, 4 Tc 2.60
Mn (0.5000, 0.5000, 0.2191)  8 Mn 2.38-2.66
Mo (0.0000, 0.0000, 0.4804)  4 Mo 2.66, 4 Mn 2.70, 4 Tc 2.90
Tc (0.5000, 0.5000, 0.7790)  4 Mn 2.60, 4 Tc 2.66, 4 Mo 2.90

Properties
Mass density = 9.62 g/cm3
Crystal system = tetragonal

4:
Density functional theory data (PBE) for a relaxed structure of Mn2TcMo.

Cell lengths 4.1838, 4.1838, 3.1127 Å; angles 90.00, 90.00, 90.00 degrees
Last column: nearest neighbours and their distance in Å.
Element x y z (fractional)
Mn (0.5000, 0.5000, 0.0000)  4 Mo 2.61, 4 Tc 2.61
Mn (0.0000, 0.0000, 0.0000)  4 Mo 2.61, 4 Tc 2.61
Tc (0.0000, 0.5000, 0.5000)  8 Mn 2.61
Mo (0.5000, 0.0000, 0.5000)  8 Mn 2.61

Properties
Mass density = 9.26 g/cm3
Crystal system = tetragonal

Which is most stable, and by how much? 1, by 18 meV per atom.